Entry 1:
CuH3Rh: optimized geometry, PBE-GGA.

The structure belongs to space group P1 (No. 1); the cell edges are 2.807, 4.550 and 6.376 Å and the angles 103.49°, 102.24° and 90.12°. Symmetry generates all atoms from Cu at (0.000, 0.000, 0.000), Cu at (0.130, 0.587, 0.258), H at (0.227, 0.924, 0.458), H at (0.249, 0.418, 0.502), H at (0.553, 0.675, 0.096), H at (0.576, 0.198, 0.159), H at (0.886, 0.187, 0.771), H at (0.896, 0.674, 0.785), Rh at (0.422, 0.453, 0.841) and Rh at (0.708, 0.155, 0.418).

The calculation puts the distance to the lowest polymorph of the same formula at 0.000 eV per atom. The value obtained for the total energy is -4.2586 eV per atom. As for the density of states at the Fermi level: 0.237 states/eV per atom.


Entry 2:
Cu3H4Rh2: optimized geometry, PBE-GGA.

The structure belongs to space group C2/m (No. 12); the cell edges are 8.869, 2.830 and 7.615 Å and the angles 90.00°, 116.51° and 90.00°. Symmetry generates all atoms from Cu at (0.000, 0.000, 0.000), Cu at (0.156, 0.500, 0.855), H at (0.130, 0.000, 0.698), H at (0.148, 0.000, 0.434) and Rh at (0.187, 0.500, 0.313).

The calculation puts the distance to the lowest polymorph of the same formula at 0.045 eV per atom. The value obtained for the total energy is -4.4019 eV per atom. As for the density of states at the Fermi level: 0.397 states/eV per atom.


Entry 3:
CuHRh2: optimized geometry, PBE-GGA.

The structure belongs to space group R-3m (No. 166, hexagonal axes); the cell edges are 2.7612, 2.7612 and 19.8127 Å and the angles 90.00°, 90.00° and 120.00°. Symmetry generates all atoms from Cu at (0.0000, 0.0000, 0.0000), H at (0.0000, 0.0000, 0.5000) and Rh at (0.0000, 0.0000, 0.2269).

The calculation puts the distance to the lowest polymorph of the same formula at 0.002 eV per atom. The value obtained for the total energy is -5.4720 eV per atom. As for the density of states at the Fermi level: 1.328 states/eV per atom.


Entry 4:
CuH2Rh: optimized geometry, PBE-GGA.

The structure belongs to space group Fm-3m (No. 225); the cell edges are 5.079, 5.079 and 5.079 Å and the angles 90.00°, 90.00° and 90.00°. Symmetry generates all atoms from Cu at (0.000, 0.000, 0.000), H at (0.250, 0.250, 0.250) and Rh at (0.000, 0.000, 0.500).

The calculation puts the distance to the lowest polymorph of the same formula at 0.366 eV per atom. The value obtained for the total energy is -4.1630 eV per atom. As for the density of states at the Fermi level: 0.252 states/eV per atom.


Entry 5:
Cu2HRh2: optimized geometry, PBE-GGA.

The structure belongs to space group P4/mbm (No. 127); the cell edges are 5.191, 5.191 and 4.408 Å and the angles 90.00°, 90.00° and 90.00°. Symmetry generates all atoms from Cu at (0.163, 0.337, 0.000), H at (0.000, 0.000, 0.500) and Rh at (0.174, 0.674, 0.500).

The value obtained for the total energy is -5.1132 eV per atom. As for the density of states at the Fermi level: 1.365 states/eV per atom.


Entry 6:
Cu2HRh: optimized geometry, PBE-GGA.

The structure belongs to space group Aem2 (No. 39); the cell edges are 10.173, 4.000 and 4.000 Å and the angles 90.00°, 90.00° and 90.00°. Symmetry generates all atoms from Cu at (0.074, 0.250, 0.000), Cu at (0.220, 0.250, 0.500), H at (0.412, 0.250, 0.502) and Rh at (0.395, 0.250, 0.000).

The calculation puts the distance to the lowest polymorph of the same formula at 0.000 eV per atom. The value obtained for the total energy is -4.7149 eV per atom. As for the density of states at the Fermi level: 0.683 states/eV per atom.